Li4Mn3Nb2Cu3O16 PBEsol relaxed; formation energy without anion corrections = -1736 meV/atom; raw total energy = -204.4 eV per cell; DOS(E_F) = 3.338 states/eV/cell; crystal system = triclinic; space-group type = P1, No. 1
1.0
5.779 0.000 0.000
2.740 5.091 0.000
0.300 -0.110 9.622
Li Mn Nb Cu O
4 3 2 3 16
Direct
0.000 0.000 0.000
0.014 0.001 0.493
0.316 0.337 0.083
0.651 0.690 0.581
0.164 0.672 0.771
0.167 0.174 0.770
0.338 0.841 0.265
0.334 0.350 0.491
0.679 0.649 0.998
0.654 0.179 0.771
0.826 0.345 0.278
0.829 0.839 0.274
0.001 0.001 0.681
0.001 0.014 0.189
0.026 0.489 0.659
0.168 0.677 0.387
0.214 0.138 0.395
0.312 0.350 0.872
0.314 0.852 0.877
0.437 0.538 0.646
0.443 0.577 0.132
0.456 0.055 0.650
0.506 0.974 0.146
0.651 0.678 0.368
0.676 0.200 0.419
0.838 0.326 0.886
0.851 0.818 0.897
0.951 0.494 0.128

***

LiMnCuO4 PBEsol relaxed; formation energy without anion corrections = -1375 meV/atom; raw total energy = -93.4 eV per cell; DOS(E_F) = 1.992 states/eV/cell; crystal system = orthorhombic; space-group type = Imma, No. 74
1.0
-2.833 2.898 4.123
2.833 -2.898 4.123
2.833 2.898 -4.123
Li Mn Cu O
2 2 2 8
Direct
0.371 0.121 0.250
0.629 0.879 0.750
0.000 0.000 0.500
0.000 0.500 0.000
0.000 0.500 0.500
0.500 0.500 0.000
0.213 0.745 0.468
0.222 0.255 0.968
0.227 0.246 0.519
0.227 0.708 0.981
0.773 0.292 0.019
0.773 0.754 0.481
0.778 0.745 0.032
0.787 0.255 0.532

***

Li2Mn5Cu2O12 PBEsol relaxed; formation energy without anion corrections = -1451 meV/atom; raw total energy = -309.7 eV per cell; DOS(E_F) = 12.973 states/eV/cell; crystal system = monoclinic; space-group type = P2_1, No. 4
1.0
5.270 0.000 0.000
0.000 8.470 0.000
-1.250 0.000 9.147
Li Mn Cu O
4 10 4 24
Direct
0.026 0.000 0.264
0.245 0.828 0.508
0.755 0.328 0.492
0.974 0.500 0.736
0.008 0.656 0.261
0.245 0.329 0.003
0.255 0.986 0.996
0.257 0.485 0.498
0.493 0.663 0.741
0.507 0.163 0.259
0.743 0.985 0.502
0.745 0.486 0.004
0.755 0.829 0.997
0.992 0.156 0.739
0.264 0.162 0.513
0.267 0.660 0.021
0.733 0.160 0.979
0.736 0.662 0.487
0.080 0.004 0.610
0.081 0.489 0.111
0.087 0.828 0.115
0.110 0.325 0.618
0.177 0.642 0.634
0.182 0.147 0.128
0.316 0.154 0.874
0.323 0.644 0.368
0.389 0.319 0.392
0.405 0.008 0.386
0.405 0.494 0.896
0.417 0.818 0.893
0.583 0.318 0.107
0.595 0.508 0.614
0.595 0.994 0.104
0.611 0.819 0.608
0.677 0.144 0.632
0.684 0.654 0.126
0.818 0.647 0.872
0.823 0.142 0.366
0.890 0.825 0.382
0.913 0.328 0.885
0.919 0.989 0.889
0.920 0.504 0.390

***

Li3Mn5Cu2O12 PBEsol relaxed; formation energy without anion corrections = -1515 meV/atom; raw total energy = -159.7 eV per cell; DOS(E_F) = 1.912 states/eV/cell; crystal system = monoclinic; space-group type = C2, No. 5
1.0
2.592 -4.277 0.000
2.592 4.277 0.000
-1.397 0.000 9.314
Li Mn Cu O
3 5 2 12
Direct
0.000 0.000 0.000
0.060 0.399 0.237
0.601 0.940 0.763
0.340 0.660 0.000
0.411 0.072 0.243
0.503 0.497 0.500
0.849 0.151 0.500
0.928 0.589 0.757
0.160 0.840 0.500
0.656 0.344 0.000
0.103 0.737 0.132
0.166 0.164 0.382
0.189 0.501 0.605
0.263 0.897 0.868
0.360 0.368 0.113
0.499 0.811 0.395
0.612 0.244 0.624
0.632 0.640 0.887
0.664 0.032 0.113
0.756 0.388 0.376
0.836 0.834 0.618
0.968 0.336 0.887

***

Li2MnCuO4 PBEsol relaxed; formation energy without anion corrections = -1531 meV/atom; raw total energy = -102.5 eV per cell; DOS(E_F) = 5.520 states/eV/cell; crystal system = tetragonal; ΔE to the lowest computed polymorph = 0.0510 eV per atom; space-group type = I-4m2, No. 119
1.0
4.016 0.000 0.000
0.000 4.016 0.000
0.000 0.000 8.291
Li Mn Cu O
4 2 2 8
Direct
0.000 0.000 0.000
0.000 0.500 0.250
0.500 0.000 0.750
0.500 0.500 0.500
0.000 0.500 0.750
0.500 0.000 0.250
0.000 0.000 0.500
0.500 0.500 0.000
0.000 0.000 0.260
0.000 0.000 0.740
0.000 0.500 0.523
0.000 0.500 0.977
0.500 0.000 0.023
0.500 0.000 0.477
0.500 0.500 0.240
0.500 0.500 0.760

***

Li2MnCuO4 PBEsol relaxed; formation energy without anion corrections = -1582 meV/atom; raw total energy = -103.4 eV per cell; DOS(E_F) = 0.602 states/eV/cell; crystal system = orthorhombic; ΔE to the lowest computed polymorph = 0.0000 eV per atom; space-group type = Imma, No. 74
1.0
-2.772 2.790 4.538
2.772 -2.790 4.538
2.772 2.790 -4.538
Li Mn Cu O
4 2 2 8
Direct
0.000 0.000 0.000
0.500 0.000 0.000
0.500 0.000 0.500
0.500 0.500 0.500
0.000 0.500 0.500
0.500 0.500 0.000
0.000 0.000 0.500
0.000 0.500 0.000
0.193 0.710 0.484
0.265 0.281 0.516
0.265 0.750 0.984
0.274 0.290 0.984
0.726 0.710 0.016
0.735 0.250 0.016
0.735 0.719 0.484
0.807 0.290 0.516

***

Li5Mn2Cu3O10 PBEsol relaxed; formation energy without anion corrections = -1498 meV/atom; raw total energy = -124.8 eV per cell; DOS(E_F) = 4.805 states/eV/cell; crystal system = triclinic; space-group type = P-1, No. 2
1.0
4.961 0.000 0.000
-1.296 5.080 0.000
-1.707 -2.384 6.868
Li Mn Cu O
5 2 3 10
Direct
0.000 0.000 0.000
0.096 0.215 0.711
0.292 0.595 0.103
0.708 0.405 0.897
0.904 0.785 0.289
0.398 0.822 0.807
0.602 0.178 0.193
0.198 0.384 0.398
0.500 0.000 0.500
0.802 0.616 0.602
0.052 0.623 0.837
0.155 0.835 0.573
0.286 0.971 0.251
0.370 0.171 0.957
0.441 0.479 0.664
0.559 0.521 0.336
0.630 0.829 0.043
0.714 0.029 0.749
0.845 0.165 0.427
0.948 0.377 0.163

***

Li5Mn3CuP4O16 PBEsol relaxed; formation energy without anion corrections = -2019 meV/atom; raw total energy = -209.2 eV per cell; DOS(E_F) = 0.000 states/eV/cell; crystal system = triclinic; space-group type = P1, No. 1
1.0
4.803 0.000 0.000
0.065 6.158 0.000
0.338 0.590 10.426
Li Mn Cu P O
5 3 1 4 16
Direct
0.000 0.000 0.000
0.011 0.475 0.977
0.376 0.505 0.392
0.457 0.991 0.501
0.615 0.421 0.656
0.452 0.216 0.208
0.531 0.773 0.801
0.929 0.753 0.286
0.119 0.193 0.688
0.081 0.707 0.603
0.397 0.735 0.108
0.581 0.247 0.917
0.875 0.234 0.410
0.179 0.743 0.459
0.196 0.225 0.397
0.214 0.494 0.660
0.220 0.892 0.676
0.249 0.934 0.170
0.264 0.235 0.932
0.278 0.724 0.972
0.286 0.538 0.195
0.685 0.456 0.839
0.713 0.048 0.851
0.715 0.753 0.107
0.720 0.252 0.051
0.740 0.046 0.337
0.758 0.449 0.345
0.760 0.207 0.549
0.763 0.713 0.617

***

Li4Mn3Cu3Sn2O16 PBEsol relaxed; formation energy without anion corrections = -1483 meV/atom; raw total energy = -184.2 eV per cell; DOS(E_F) = 5.826 states/eV/cell; crystal system = monoclinic; space-group type = Cm, No. 8
1.0
5.113 -2.878 0.000
5.113 2.878 0.000
-0.209 0.000 9.503
Li Mn Cu Sn O
4 3 3 2 16
Direct
0.000 0.000 0.000
0.007 0.007 0.505
0.334 0.334 0.405
0.662 0.662 0.898
0.173 0.173 0.723
0.341 0.833 0.222
0.833 0.341 0.222
0.172 0.664 0.722
0.664 0.172 0.722
0.832 0.832 0.223
0.337 0.337 0.998
0.676 0.676 0.502
0.016 0.016 0.814
0.017 0.017 0.317
0.029 0.475 0.846
0.161 0.161 0.112
0.167 0.687 0.112
0.322 0.322 0.617
0.327 0.854 0.608
0.475 0.029 0.846
0.482 0.482 0.846
0.507 0.967 0.339
0.520 0.520 0.338
0.652 0.652 0.115
0.687 0.167 0.112
0.851 0.851 0.602
0.854 0.327 0.608
0.967 0.507 0.339

***

Li4Ti3Mn3Cu2O16 PBEsol relaxed; formation energy without anion corrections = -2024 meV/atom; raw total energy = -211.4 eV per cell; DOS(E_F) = 2.308 states/eV/cell; crystal system = monoclinic; space-group type = Cm, No. 8
1.0
5.026 -2.855 0.000
5.026 2.855 0.000
-0.019 0.000 9.593
Li Ti Mn Cu O
4 3 3 2 16
Direct
0.000 0.000 0.000
0.048 0.048 0.506
0.357 0.357 0.405
0.719 0.719 0.902
0.227 0.227 0.723
0.348 0.842 0.220
0.842 0.348 0.220
0.227 0.721 0.724
0.721 0.227 0.724
0.843 0.843 0.228
0.361 0.361 0.999
0.706 0.706 0.500
0.007 0.007 0.325
0.056 0.056 0.823
0.093 0.545 0.844
0.167 0.690 0.115
0.168 0.168 0.113
0.374 0.893 0.614
0.392 0.392 0.616
0.527 0.527 0.330
0.538 0.979 0.345
0.543 0.543 0.827
0.545 0.093 0.844
0.687 0.687 0.113
0.690 0.167 0.115
0.893 0.374 0.614
0.898 0.898 0.625
0.979 0.538 0.345

***

Li2MnCuTe PBEsol relaxed; formation energy without anion corrections = 493 meV/atom; raw total energy = -19.1 eV per cell; DOS(E_F) = 2.395 states/eV/cell; crystal system = tetragonal; space-group type = P4/mmm, No. 123
1.0
4.938 0.000 0.000
0.000 4.938 0.000
0.000 0.000 5.055
Li Mn Cu Te
2 1 1 1
Direct
0.000 0.500 0.000
0.500 0.000 0.000
0.000 0.000 0.500
0.500 0.500 0.500
0.000 0.000 0.000

***

LiCu2Mo PBEsol relaxed; raw total energy = -21.1 eV per cell; DOS(E_F) = 2.485 states/eV/cell; E_form = 0.317 eV/atom; crystal system = orthorhombic; space-group type = Pmm2, No. 25
1.0
2.475 0.000 0.000
0.000 3.851 0.000
0.000 0.000 5.365
Li Cu Mo
1 2 1
Direct
0.000 0.000 0.000
0.000 0.000 0.537
0.500 0.500 0.797
0.500 0.500 0.307

***

LiCuTeMo2 PBEsol relaxed; formation energy without anion corrections = 1614 meV/atom; raw total energy = -25.3 eV per cell; DOS(E_F) = 5.486 states/eV/cell; crystal system = tetragonal; space-group type = P4/mmm, No. 123
1.0
4.917 0.000 0.000
0.000 4.917 0.000
0.000 0.000 4.698
Li Cu Te Mo
1 1 1 2
Direct
0.000 0.000 0.000
0.500 0.500 0.000
0.500 0.500 0.500
0.000 0.500 0.500
0.500 0.000 0.500

***

LiCuN2 PBEsol relaxed; formation energy without anion corrections = 1050 meV/atom; raw total energy = -57.5 eV per cell; DOS(E_F) = 6.729 states/eV/cell; crystal system = trigonal; space-group type = R-3m, No. 166
1.0
2.484 0.000 0.000
-1.242 2.151 0.000
0.000 0.000 19.766
Li Cu N
3 3 6
Direct
0.000 0.000 0.000
0.333 0.667 0.667
0.667 0.333 0.333
0.000 0.000 0.500
0.333 0.667 0.167
0.667 0.333 0.833
0.000 0.000 0.409
0.000 0.000 0.591
0.333 0.667 0.075
0.333 0.667 0.258
0.667 0.333 0.742
0.667 0.333 0.925

***

LiCu2PN PBEsol relaxed; formation energy without anion corrections = 280 meV/atom; raw total energy = -23.6 eV per cell; DOS(E_F) = 2.507 states/eV/cell; crystal system = tetragonal; space-group type = P4/mmm, No. 123
1.0
3.713 0.000 0.000
0.000 3.713 0.000
0.000 0.000 4.533
Li Cu P N
1 2 1 1
Direct
0.000 0.000 0.000
0.000 0.500 0.500
0.500 0.000 0.500
0.500 0.500 0.000
0.500 0.500 0.500

***

LiCuPb2N PBEsol relaxed; formation energy without anion corrections = 377 meV/atom; raw total energy = -20.9 eV per cell; DOS(E_F) = 2.036 states/eV/cell; crystal system = tetragonal; space-group type = P4/mmm, No. 123
1.0
5.502 0.000 0.000
0.000 5.502 0.000
0.000 0.000 3.438
Li Cu Pb N
1 1 2 1
Direct
0.000 0.000 0.000
0.500 0.500 0.500
0.000 0.500 0.500
0.500 0.000 0.500
0.500 0.500 0.000

***

LiCuSe2N PBEsol relaxed; formation energy without anion corrections = 1409 meV/atom; raw total energy = -15.5 eV per cell; DOS(E_F) = 3.367 states/eV/cell; crystal system = tetragonal; ΔE to the lowest computed polymorph = 0.9659 eV per atom; space-group type = P4/mmm, No. 123
1.0
4.475 0.000 0.000
0.000 4.475 0.000
0.000 0.000 4.330
Li Cu Se N
1 1 2 1
Direct
0.000 0.000 0.000
0.000 0.000 0.500
0.000 0.500 0.000
0.500 0.000 0.000
0.500 0.500 0.500

***

LiCuSe2N PBEsol relaxed; formation energy without anion corrections = 443 meV/atom; raw total energy = -20.3 eV per cell; DOS(E_F) = 3.610 states/eV/cell; crystal system = tetragonal; ΔE to the lowest computed polymorph = 0.0000 eV per atom; space-group type = P4/mmm, No. 123
1.0
5.030 0.000 0.000
0.000 5.030 0.000
0.000 0.000 3.456
Li Cu Se N
1 1 2 1
Direct
0.000 0.000 0.000
0.500 0.500 0.500
0.000 0.500 0.500
0.500 0.000 0.500
0.500 0.500 0.000